w) Sm3Cd3Ag2 | PBE-GGA | optimized geometry

Summary:
**ρ**: 8042 kg/m³
**Space group**: P-62m (189)

a = 3.9654 Å, b = 7.7699 Å, c = 7.7699 Å
α = 120.00°, β = 90.00°, γ = 90.00°
With the nearest neighbours (Å) after each atom.
Atoms (fractional coordinates):
1 Ag 0.0000 0.6667 0.3333  3 Cd 3.07, 6 Sm 3.08
2 Sm 0.5000 0.5924 0.0000  4 Ag 3.08, 6 Cd 3.39-3.44
3 Sm 0.5000 0.4076 0.4076  4 Ag 3.08, 6 Cd 3.39-3.44
4 Cd 0.0000 0.2303 0.0000  2 Ag 3.07, 2 Cd 3.10, 4 Sm 3.39
5 Cd 0.0000 0.7697 0.7697  2 Ag 3.07, 2 Cd 3.10, 4 Sm 3.39
6 Sm 0.5000 0.0000 0.5924  4 Ag 3.08, 6 Cd 3.39-3.44
7 Ag 0.0000 0.3333 0.6667  3 Cd 3.07, 6 Sm 3.08
8 Cd 0.0000 0.0000 0.2303  2 Ag 3.07, 2 Cd 3.10, 4 Sm 3.39

***

x) Sm3Cd3Ag2 | PBE-GGA | optimized geometry

Summary:
**ρ**: 8338 kg/m³
**Space group**: C2/m (12)

a = 4.5422 Å, b = 4.9689 Å, c = 9.4696 Å
α = 105.01°, β = 103.88°, γ = 90.00°
With the nearest neighbours (Å) after each atom.
Atoms (fractional coordinates):
1 Sm 0.1391 0.6403 0.2782  4 Ag 3.08-3.10, 6 Cd 3.35-3.37
2 Sm 0.8609 0.3597 0.7218  4 Ag 3.08-3.10, 6 Cd 3.35-3.37
3 Ag 0.7566 0.7560 0.5132  4 Cd 2.92-3.24, 4 Sm 3.08-3.10
4 Ag 0.2434 0.2440 0.4868  4 Cd 2.92-3.24, 4 Sm 3.08-3.10
5 Sm 0.0000 0.0000 0.0000  8 Cd 3.36-3.37, 4 Sm 3.49-3.51
6 Cd 0.5000 0.5000 0.0000  8 Sm 3.35-3.37, 4 Cd 3.50-3.52
7 Cd 0.6397 0.1410 0.2795  4 Ag 2.92-3.24
8 Cd 0.3603 0.8590 0.7205  4 Ag 2.92-3.24

***

The data favor w); the next most stable structure lies 23 meV/atom above it.

***

w) Sm2Cd3Ag2 | PBE-GGA | optimized geometry

Summary:
**ρ**: 8475 kg/m³
**Space group**: C2/m (12)

a = 4.7060 Å, b = 5.6269 Å, c = 7.4229 Å
α = 108.53°, β = 90.00°, γ = 114.72°
With the nearest neighbours (Å) after each atom.
Atoms (fractional coordinates):
1 Ag 0.8447 0.6895 0.7964  5 Cd 2.87-3.00, 4 Sm 3.08-3.14
2 Cd 0.3806 0.7612 0.5669  3 Ag 2.87-3.00, 2 Cd 2.94-3.01
3 Cd 0.5000 0.0000 0.0000  4 Ag 2.94, 2 Cd 3.01
4 Ag 0.1553 0.3105 0.2036  5 Cd 2.87-3.00, 4 Sm 3.08-3.14
5 Sm 0.1394 0.2789 0.7731  4 Ag 3.08-3.14, 3 Cd 3.33-3.40
6 Cd 0.6194 0.2388 0.4331  3 Ag 2.87-3.00, 2 Cd 2.94-3.01
7 Sm 0.8606 0.7211 0.2269  4 Ag 3.08-3.14, 3 Cd 3.33-3.40

***

x) Sm2Cd3Ag2 | PBE-GGA | optimized geometry

Summary:
**ρ**: 8278 kg/m³
**Space group**: C2/m (12)

a = 4.3260 Å, b = 5.7268 Å, c = 7.4928 Å
α = 94.54°, β = 90.00°, γ = 112.19°
With the nearest neighbours (Å) after each atom.
Atoms (fractional coordinates):
1 Ag 0.0913 0.1826 0.6434  1 Ag 2.77, 3 Cd 2.89-2.92, 1 Sm 3.03
2 Cd 0.3111 0.6221 0.1282  2 Ag 2.89, 4 Cd 3.10-3.15
3 Cd 0.0000 0.0000 0.0000  2 Ag 2.92, 4 Cd 3.15
4 Sm 0.3782 0.7565 0.6684  5 Ag 3.03-3.22
5 Cd 0.6889 0.3779 0.8718  2 Ag 2.89, 4 Cd 3.10-3.15
6 Sm 0.6218 0.2435 0.3316  5 Ag 3.03-3.22
7 Ag 0.9087 0.8174 0.3566  1 Ag 2.77, 3 Cd 2.89-2.92, 1 Sm 3.03

***

The data favor w); the next most stable structure lies 53 meV/atom above it.

***

w) Sm2CdAg3 | PBE-GGA | optimized geometry

Summary:
**ρ**: 8695 kg/m³
**Space group**: Fmmm (69)

a = 5.9451 Å, b = 5.9451 Å, c = 9.1571 Å
α = 102.12°, β = 102.12°, γ = 110.68°
With the nearest neighbours (Å) after each atom.
Atoms (fractional coordinates):
1 Sm 0.7500 0.2500 0.5000  4 Cd 3.30, 8 Ag 3.30-3.31, 2 Sm 3.38
2 Cd 0.3335 0.3335 0.6671  3 Ag 2.83-2.85
3 Sm 0.2500 0.7500 0.5000  4 Cd 3.30, 8 Ag 3.30-3.31, 2 Sm 3.38
4 Ag 0.1671 0.6673 0.8344  2 Ag 2.82-2.83, 1 Cd 2.83
5 Ag 0.8329 0.3327 0.1656  2 Ag 2.82-2.83, 1 Cd 2.83
6 Ag 0.8338 0.8338 0.6676  2 Ag 2.83, 1 Cd 2.85
7 Sm 0.7533 0.7533 0.0000  10 Ag 3.28-3.30, 2 Cd 3.31, 2 Sm 3.34-3.43
8 Ag 0.6673 0.1671 0.8344  2 Ag 2.82-2.83, 1 Cd 2.83
9 Sm 0.2467 0.2467 0.0000  10 Ag 3.28-3.30, 2 Cd 3.31, 2 Sm 3.34-3.43
10 Cd 0.6665 0.6665 0.3329  3 Ag 2.83-2.85
11 Ag 0.3327 0.8329 0.1656  2 Ag 2.82-2.83, 1 Cd 2.83
12 Ag 0.1662 0.1662 0.3324  2 Ag 2.83, 1 Cd 2.85

***

x) Sm2CdAg3 | PBE-GGA | optimized geometry

Summary:
**ρ**: 8043 kg/m³
**Space group**: Imm2 (44)

a = 4.1063 Å, b = 4.0394 Å, c = 9.6120 Å
α = 102.13°, β = 102.33°, γ = 90.00°
With the nearest neighbours (Å) after each atom.
Atoms (fractional coordinates):
1 Ag 0.7027 0.7027 0.4053  3 Ag 2.70-2.74
2 Sm 0.1306 0.1306 0.2612  8 Ag 3.17-3.21
3 Ag 0.5532 0.5532 0.1063  2 Cd 2.72, 1 Ag 2.74
4 Sm 0.8616 0.3616 0.7233  4 Ag 3.10, 4 Cd 3.34
5 Cd 0.4535 0.9535 0.9069  3 Ag 2.72-2.84
6 Ag 0.2985 0.7985 0.5969  2 Ag 2.70, 1 Cd 2.84

***

The data favor w); the next most stable structure lies 91 meV/atom above it.

***

w) Sm6Cd2Ag | PBE-GGA | optimized geometry

Summary:
**ρ**: 7646 kg/m³
**Space group**: C2/m (12)

a = 3.7148 Å, b = 8.3164 Å, c = 9.1550 Å
α = 81.08°, β = 78.29°, γ = 77.09°
With the nearest neighbours (Å) after each atom.
Atoms (fractional coordinates):
1 Cd 0.5929 0.5636 0.2506  2 Ag 2.91
2 Sm 0.3022 0.2895 0.1062  3 Cd 3.27-3.28
3 Sm 0.9582 0.8972 0.1864  2 Cd 3.28, 4 Sm 3.56-3.66
4 Sm 0.3239 0.8135 0.5387  2 Ag 3.20, 2 Cd 3.40-3.46, 2 Sm 3.55
5 Ag 0.0000 0.5000 0.5000  4 Cd 2.91, 4 Sm 3.20
6 Sm 0.6978 0.7105 0.8938  3 Cd 3.27-3.28
7 Sm 0.0418 0.1028 0.8136  2 Cd 3.28, 4 Sm 3.56-3.66
8 Sm 0.6761 0.1865 0.4613  2 Ag 3.20, 2 Cd 3.40-3.46, 2 Sm 3.55
9 Cd 0.4071 0.4364 0.7494  2 Ag 2.91

***

x) Sm6Cd2Ag | PBE-GGA | optimized geometry

Summary:
**ρ**: 7504 kg/m³
**Space group**: P2_1/c (14)

a = 6.3711 Å, b = 9.4832 Å, c = 9.2040 Å
α = 90.00°, β = 79.35°, γ = 90.00°
With the nearest neighbours (Å) after each atom.
Atoms (fractional coordinates):
1 Sm 0.1177 0.0367 0.7983  1 Ag 3.00
2 Cd 0.8687 0.3986 0.7778  1 Ag 2.98, 4 Sm 3.01-3.29
3 Cd 0.3687 0.1014 0.2778  1 Ag 2.98, 4 Sm 3.01-3.29
4 Ag 0.0000 0.0000 0.5000  2 Cd 2.98, 6 Sm 3.00-3.20
5 Sm 0.1027 0.3301 0.4710  2 Cd 3.01-3.10, 1 Ag 3.20
6 Sm 0.3973 0.8301 0.0290  2 Cd 3.01-3.10, 1 Ag 3.20
7 Sm 0.5902 0.1906 0.5597  1 Ag 3.14, 2 Cd 3.18-3.29, 2 Sm 3.48-3.52
8 Ag 0.5000 0.5000 0.0000  2 Cd 2.98, 6 Sm 3.00-3.20
9 Cd 0.6313 0.8986 0.7222  1 Ag 2.98, 4 Sm 3.01-3.29
10 Sm 0.4098 0.8094 0.4403  1 Ag 3.14, 2 Cd 3.18-3.29, 2 Sm 3.48-3.52
11 Sm 0.8973 0.6699 0.5290  2 Cd 3.01-3.10, 1 Ag 3.20
12 Sm 0.0902 0.3094 0.0597  1 Ag 3.14, 2 Cd 3.18-3.29, 2 Sm 3.48-3.52
13 Cd 0.1313 0.6014 0.2222  1 Ag 2.98, 4 Sm 3.01-3.29
14 Sm 0.6177 0.4633 0.2983  1 Ag 3.00
15 Sm 0.8823 0.9633 0.2017  1 Ag 3.00
16 Sm 0.6027 0.1699 0.9710  2 Cd 3.01-3.10, 1 Ag 3.20
17 Sm 0.3823 0.5367 0.7017  1 Ag 3.00
18 Sm 0.9098 0.6906 0.9403  1 Ag 3.14, 2 Cd 3.18-3.29, 2 Sm 3.48-3.52

***

The data favor w); the next most stable structure lies 38 meV/atom above it.

***

w) Sm3Cd2Ag4 | PBE-GGA | optimized geometry

Summary:
**ρ**: 8699 kg/m³
**Space group**: C2/m (12)

a = 5.1149 Å, b = 5.1208 Å, c = 9.3154 Å
α = 90.14°, β = 90.00°, γ = 119.96°
With the nearest neighbours (Å) after each atom.
Atoms (fractional coordinates):
1 Ag 0.6672 0.3345 0.0769  1 Cd 2.88, 4 Sm 3.04
2 Ag 0.9991 0.9982 0.3421  1 Ag 2.94, 4 Sm 3.01-3.19, 3 Cd 3.13-3.14
3 Ag 0.0009 0.0018 0.6579  1 Ag 2.94, 4 Sm 3.01-3.19, 3 Cd 3.13-3.14
4 Sm 0.6662 0.3324 0.4034  4 Ag 3.01-3.04, 3 Cd 3.36
5 Cd 0.3327 0.6653 0.2319  4 Ag 2.88-3.14
6 Ag 0.3328 0.6655 0.9231  1 Cd 2.88, 4 Sm 3.04
7 Sm 0.3338 0.6676 0.5966  4 Ag 3.01-3.04, 3 Cd 3.36
8 Sm 0.0000 0.0000 0.0000  8 Ag 3.04-3.19
9 Cd 0.6673 0.3347 0.7681  4 Ag 2.88-3.14

***

x) Sm3Cd2Ag4 | PBE-GGA | optimized geometry

Summary:
**ρ**: 8656 kg/m³
**Space group**: C2/m (12)

a = 4.8961 Å, b = 5.9875 Å, c = 9.1821 Å
α = 117.27°, β = 90.00°, γ = 114.13°
With the nearest neighbours (Å) after each atom.
Atoms (fractional coordinates):
1 Cd 0.6233 0.2466 0.2895  3 Ag 2.84-2.85
2 Sm 0.0000 0.0000 0.0000  8 Ag 3.31-3.34, 4 Cd 3.36, 2 Sm 3.39
3 Ag 0.9394 0.8789 0.6058  2 Cd 2.84, 1 Ag 2.85
4 Ag 0.7247 0.4494 0.0581  2 Ag 2.83, 1 Cd 2.85
5 Cd 0.3767 0.7534 0.7105  3 Ag 2.84-2.85
6 Ag 0.2753 0.5506 0.9419  2 Ag 2.83, 1 Cd 2.85
7 Sm 0.6614 0.3229 0.6754  8 Ag 3.22-3.40, 4 Cd 3.29-3.35, 2 Sm 3.38-3.39
8 Sm 0.3386 0.6771 0.3246  8 Ag 3.22-3.40, 4 Cd 3.29-3.35, 2 Sm 3.38-3.39
9 Ag 0.0606 0.1211 0.3942  2 Cd 2.84, 1 Ag 2.85

***

The data favor x); the next most stable structure lies 42 meV/atom above it.